(1)
AsAuI2: relaxed, GGA-PBEsol.

Values from the calculation:
ρ ... 7.0 Mg/m³
E_form (uncorrected) ... 47.46 kJ/mol of atoms
M_tot ... 0.00 μB/f.u.
V ... 251 Å³/cell
DFT total energy ... -0.097 hartree per atom

a = 5.4796 Å, b = 5.4796 Å, c = 9.2090 Å
α = 107.31°, β = 107.31°, γ = 90.00°
Fractional coordinates of all 8 atoms:
I1 0.8737 0.3750 0.2500
I2 0.3763 0.8750 0.2500
I3 0.1250 0.1263 0.7500
I4 0.6250 0.6237 0.7500
Au1 0.2500 0.7500 0.5000
Au2 0.0000 0.0000 0.0000
As1 0.5000 0.5000 0.0000
As2 0.7500 0.2500 0.5000



(2)
As2PtAuI: relaxed, GGA-PBEsol.

Values from the calculation:
ρ ... 9.3 Mg/m³
E_form (uncorrected) ... 49.38 kJ/mol of atoms
M_tot ... 0.00 μB/f.u.
V ... 120 Å³/cell
DFT total energy ... -0.149 hartree per atom

a = 4.7993 Å, b = 4.7993 Å, c = 5.2071 Å
α = 90.00°, β = 90.00°, γ = 90.00°
Fractional coordinates of all 5 atoms:
Pt1 0.0000 0.0000 0.0000
As1 0.5000 0.0000 0.0000
As2 0.0000 0.5000 0.0000
I1 0.5000 0.5000 0.5000
Au1 0.0000 0.0000 0.5000



(3)
Sb2AsAuI: relaxed, GGA-PBEsol.

Values from the calculation:
ρ ... 7.1 Mg/m³
E_form (uncorrected) ... 76.73 kJ/mol of atoms
M_tot ... 0.00 μB/f.u.
V ... 151 Å³/cell
DFT total energy ... -0.117 hartree per atom

a = 5.3291 Å, b = 5.3167 Å, c = 5.3167 Å
α = 90.00°, β = 90.00°, γ = 90.00°
Fractional coordinates of all 5 atoms:
Au1 0.0000 0.0000 0.0000
Sb1 0.0000 0.0000 0.5000
Sb2 0.0000 0.5000 0.0000
As1 0.5000 0.5000 0.5000
I1 0.5000 0.0000 0.0000



(4)
InAsAu4: relaxed, GGA-PBEsol.

Values from the calculation:
ρ ... 14.1 Mg/m³
Formation energy from the elements ... 0.0991 eV per atom
M_tot ... 0.00 μB/f.u.
V ... 115 Å³/cell
DFT total energy ... -0.142 hartree per atom

a = 5.4555 Å, b = 5.4555 Å, c = 5.4555 Å
α = 60.00°, β = 60.00°, γ = 60.00°
Fractional coordinates of all 6 atoms:
Au1 0.3749 0.3749 0.3749
Au2 0.3749 0.3749 0.8753
Au3 0.3749 0.8753 0.3749
Au4 0.8753 0.3749 0.3749
In1 0.7500 0.7500 0.7500
As1 0.0000 0.0000 0.0000



(5)
InAs2Au: relaxed, GGA-PBEsol.

Values from the calculation:
ρ ... 9.8 Mg/m³
Formation energy from the elements ... 0.2342 eV per atom
M_tot ... 0.00 μB/f.u.
V ... 78 Å³/cell
DFT total energy ... -0.149 hartree per atom

a = 2.8779 Å, b = 5.2149 Å, c = 5.2149 Å
α = 90.00°, β = 90.00°, γ = 90.00°
Fractional coordinates of all 4 atoms:
As1 0.0000 0.5000 0.0000
As2 0.0000 0.0000 0.5000
Au1 0.5000 0.5000 0.5000
In1 0.5000 0.0000 0.0000



(6)
In3AsAu: relaxed, GGA-PBEsol.

Values from the calculation:
ρ ... 7.4 Mg/m³
Formation energy from the elements ... 0.2885 eV per atom
M_tot ... 0.00 μB/f.u.
V ... 139 Å³/cell
DFT total energy ... -0.122 hartree per atom

a = 5.1752 Å, b = 5.1752 Å, c = 5.1752 Å
α = 90.00°, β = 90.00°, γ = 90.00°
Fractional coordinates of all 5 atoms:
In1 0.0000 0.0000 0.5000
In2 0.0000 0.5000 0.0000
In3 0.5000 0.0000 0.0000
As1 0.5000 0.5000 0.5000
Au1 0.0000 0.0000 0.0000



(7)
InAs2Au: relaxed, GGA-PBEsol.

Values from the calculation:
ρ ... 9.8 Mg/m³
Formation energy from the elements ... 0.2236 eV per atom
M_tot ... 0.00 μB/f.u.
V ... 78 Å³/cell
DFT total energy ... -0.149 hartree per atom

a = 4.5374 Å, b = 4.9600 Å, c = 4.5374 Å
α = 117.22°, β = 90.00°, γ = 117.22°
Fractional coordinates of all 4 atoms:
As1 0.0000 0.0000 0.0000
As2 0.7500 0.5000 0.2500
Au1 0.5000 0.0000 0.5000
In1 0.2500 0.5000 0.7500



(8)
InAsAu3: relaxed, GGA-PBEsol.

Values from the calculation:
ρ ... 10.3 Mg/m³
Formation energy from the elements ... 0.9784 eV per atom
M_tot ... 0.00 μB/f.u.
V ... 126 Å³/cell
DFT total energy ... -0.110 hartree per atom

a = 5.0134 Å, b = 5.0134 Å, c = 5.0134 Å
α = 90.00°, β = 90.00°, γ = 90.00°
Fractional coordinates of all 5 atoms:
As1 0.5000 0.5000 0.5000
In1 0.0000 0.0000 0.0000
Au1 0.5000 0.0000 0.0000
Au2 0.0000 0.5000 0.0000
Au3 0.0000 0.0000 0.5000



(9)
InAs2Au: relaxed, GGA-PBEsol.

Values from the calculation:
ρ ... 8.9 Mg/m³
Formation energy from the elements ... -0.0614 eV per atom
M_tot ... 0.00 μB/f.u.
V ... 86 Å³/cell
DFT total energy ... -0.160 hartree per atom

a = 3.9515 Å, b = 4.5502 Å, c = 5.0013 Å
α = 106.57°, β = 90.00°, γ = 90.00°
Fractional coordinates of all 4 atoms:
Au1 0.5000 0.0000 0.5000
As1 0.0000 0.2538 0.3156
As2 0.0000 0.7462 0.6844
In1 0.5000 0.5000 0.0000



(10)
InAs2AuSe: relaxed, GGA-PBEsol.

Values from the calculation:
ρ ... 7.1 Mg/m³
E_form (uncorrected) ... 59.45 kJ/mol of atoms
M_tot ... 0.44 μB/f.u.
V ... 127 Å³/cell
DFT total energy ... -0.131 hartree per atom

a = 4.9790 Å, b = 4.9790 Å, c = 5.1287 Å
α = 90.00°, β = 90.00°, γ = 90.00°
Site moments in Bohr magnetons follow the coordinates.
Fractional coordinates of all 5 atoms:
In1 0.5000 0.5000 0.5000  0.01
As1 0.0000 0.5000 0.0000  0.09
As2 0.5000 0.0000 0.0000  0.09
Au1 0.0000 0.0000 0.0000  0.02
Se1 0.0000 0.0000 0.5000  0.03



(11)
AsIrAu3: relaxed, GGA-PBEsol.

Values from the calculation:
ρ ... 12.1 Mg/m³
Formation energy from the elements ... 1.3858 eV per atom
M_tot ... 0.00 μB/f.u.
V ... 118 Å³/cell
DFT total energy ... -0.145 hartree per atom

a = 4.9032 Å, b = 4.9032 Å, c = 4.9032 Å
α = 90.00°, β = 90.00°, γ = 90.00°
Fractional coordinates of all 5 atoms:
Au1 0.5000 0.0000 0.0000
Au2 0.0000 0.5000 0.0000
Au3 0.0000 0.0000 0.5000
Ir1 0.0000 0.0000 0.0000
As1 0.5000 0.5000 0.5000



(12)
Ta2AsIrAu: relaxed, GGA-PBEsol.

Values from the calculation:
ρ ... 12.2 Mg/m³
Formation energy from the elements ... 1.8812 eV per atom
M_tot ... 0.00 μB/f.u.
V ... 113 Å³/cell
DFT total energy ... -0.254 hartree per atom

a = 4.8243 Å, b = 4.8243 Å, c = 4.8477 Å
α = 90.00°, β = 90.00°, γ = 90.00°
Fractional coordinates of all 5 atoms:
Ta1 0.5000 0.0000 0.0000
Ta2 0.0000 0.5000 0.0000
Ir1 0.0000 0.0000 0.5000
Au1 0.0000 0.0000 0.0000
As1 0.5000 0.5000 0.5000